Record 1
{"formula": "TiCo2CuAs", "functional": "GGA-PBE", "state": "optimized geometry", "sg": "P4/mmm (123)", "formation_energy_ev_per_atom": 0.841, "cell": [[-0.256, -3.908, 1.793], [4.196, -0.904, -1.371], [1.549, 1.591, 3.690]], "species": ["As", "Co", "Co", "Cu", "Ti"], "frac_coords": [[0.500, 0.500, 0.500], [0.000, 0.000, 0.500], [0.500, 0.000, 0.000], [0.000, 0.000, 0.000], [0.000, 0.500, 0.000]]}

=====

Record 2
{"formula": "MgAs4P4O16", "functional": "GGA-PBE", "state": "optimized geometry", "formation_energy_uncorrected_ev_per_atom": -1.701, "sg": "Pm (6)", "de_polymorph_mev_per_atom": 0, "cell": [[5.078, 0.000, 0.000], [0.000, 8.485, -0.030], [0.000, 1.008, 8.926]], "species": ["O", "O", "O", "O", "O", "O", "O", "O", "O", "O", "O", "O", "O", "O", "O", "O", "As", "As", "As", "As", "P", "P", "P", "P", "Mg"], "frac_coords": [[0.000, 0.380, 0.566], [0.756, 0.222, 0.379], [0.500, 0.540, 0.747], [0.500, 0.918, 0.218], [0.257, 0.263, 0.841], [0.253, 0.686, 0.115], [0.500, 0.895, 0.944], [0.000, 0.082, 0.020], [0.743, 0.263, 0.841], [0.000, 0.466, 0.278], [0.254, 0.793, 0.644], [0.746, 0.793, 0.644], [0.244, 0.222, 0.379], [0.500, 0.632, 0.465], [0.000, 0.039, 0.737], [0.747, 0.686, 0.115], [0.500, 0.339, 0.686], [0.500, 0.330, 0.248], [0.000, 0.819, 0.785], [0.000, 0.683, 0.264], [0.500, 0.802, 0.101], [0.000, 0.159, 0.861], [0.500, 0.688, 0.616], [0.000, 0.324, 0.412], [0.500, 0.109, 0.059]]}